# MnCuF2 PBE+U relaxed
# calculated total energy = -4.900 eV per atom
# ΔE to the lowest computed polymorph = 389 meV/atom
# magnetization = 4.53 μB per formula unit
# density of states at the Fermi level = 4.6 states/eV/cell
data_MnCuF2
_chemical_formula_sum 'Mn3 Cu3 F6'
_space_group_name_H-M_alt 'R -3 m'
_space_group_IT_number 166
_space_group_name_Hall '-R 3 2"'
_cell_length_a 3.2133
_cell_length_b 3.2133
_cell_length_c 19.6551
_cell_angle_alpha 90.00
_cell_angle_beta 90.00
_cell_angle_gamma 120.00
loop_
_atom_site_label
_atom_site_type_symbol
_atom_site_fract_x
_atom_site_fract_y
_atom_site_fract_z
_atom_site_occupancy
Mn1 Mn 0.0000 0.0000 0.0000 1
Cu1 Cu 0.0000 0.0000 0.5000 1
F1 F 0.0000 0.0000 0.1047 1